1.
The following is a PBE-GGA calculation of a relaxed BeNiSeN2 crystal, from Alexandria.

a b c (Å): 3.2735 3.2735 7.1184
angles (deg): 90.00 90.00 90.00
Last column: nearest neighbours and their distance in Å.
Fractional coordinates of all 5 atoms:
Be  0.0000  0.0000  0.0000  4 N 1.64
Ni  0.5000  0.5000  0.5000  4 Se 2.31
Se  0.0000  0.0000  0.5000  4 Ni 2.31
N  0.0000  0.5000  0.0000  2 Be 1.64
N  0.5000  0.0000  0.0000  2 Be 1.64

Calculated values
Formation energy from raw total energies (eV per atom): 1.065
Crystal system: tetragonal
Magnetization (μB/cell): 0.5
ΔE to the lowest computed polymorph (meV per atom): 0

***

2.
The following is a PBE-GGA calculation of a relaxed Hf4Zr3Ga4 crystal, from Alexandria.

a b c (Å): 6.9734 6.9734 6.9734
angles (deg): 109.47 109.47 109.47
Last column: nearest neighbours and their distance in Å.
Fractional coordinates of all 11 atoms:
Hf  0.0000  0.0000  0.7401  4 Ga 2.53-2.65
Hf  0.0000  0.7401  0.0000  4 Ga 2.53-2.65
Hf  0.2599  0.2599  0.2599  4 Ga 2.53-2.65
Hf  0.7401  0.0000  0.0000  4 Ga 2.53-2.65
Zr  0.0000  0.5000  0.5000  4 Ga 3.30, 4 Hf 3.33
Zr  0.5000  0.0000  0.5000  4 Ga 3.30, 4 Hf 3.33
Zr  0.5000  0.5000  0.0000  4 Ga 3.30, 4 Hf 3.33
Ga  0.0000  0.0000  0.3778  4 Hf 2.53-2.65
Ga  0.0000  0.3778  0.0000  4 Hf 2.53-2.65
Ga  0.3778  0.0000  0.0000  4 Hf 2.53-2.65
Ga  0.6222  0.6222  0.6222  4 Hf 2.53-2.65

Calculated values
Crystal system: cubic
Energy relative to the elements (eV per atom): 0.277
Magnetization (μB/cell): 0.6